Ba4AsOs | PBE-GGA | relaxed

a b c (Å): 6.769 6.769 6.769
angles (deg): 60.00 60.00 60.00
Site moments in Bohr magnetons follow the coordinates.
Positions (direct):
Ba 0.875 0.375 0.375  -0.12
Ba 0.375 0.375 0.875  -0.12
Ba 0.375 0.875 0.375  -0.12
Ba 0.375 0.375 0.375  -0.12
As 0.000 0.000 0.000  0.08
Os 0.750 0.750 0.750  1.58

Properties
Formation energy in meV/atom: 1044
Total DFT energy (no corrections) in eV per atom: -2.88